ErSc2ZnAu4: relaxed, PBE.

Output
The value obtained for the density of states at the Fermi level is 4.1 states/eV per cell. The formation energy comes out at -542 kJ/mol of formula units.

Unit cell a=4.757 b=4.757 c=8.502 alpha=73.75 beta=73.75 gamma=60.00
Positions (direct):
1 Er 0.000 0.000 0.000
2 Sc 0.758 0.758 0.727
3 Sc 0.242 0.242 0.273
4 Zn 0.500 0.500 0.500
5 Au 0.384 0.384 0.848
6 Au 0.877 0.877 0.369
7 Au 0.123 0.123 0.631
8 Au 0.616 0.616 0.152


Ca2Mg6CdIn: relaxed, PBE.

Output
The value obtained for the density of states at the Fermi level is 10.6 states/eV per cell. The formation energy comes out at 30 kJ/mol of formula units.

Unit cell a=7.319 b=7.319 c=13.099 alpha=73.78 beta=73.78 gamma=60.00
Positions (direct):
1 Ca 0.894 0.894 0.317
2 Ca 0.106 0.106 0.683
3 Ca 0.720 0.720 0.840
4 Ca 0.280 0.280 0.160
5 Mg 0.928 0.332 0.408
6 Mg 0.332 0.928 0.408
7 Mg 0.332 0.332 0.408
8 Mg 0.072 0.668 0.592
9 Mg 0.668 0.072 0.592
10 Mg 0.668 0.668 0.592
11 Mg 0.638 0.224 0.914
12 Mg 0.224 0.638 0.914
13 Mg 0.224 0.224 0.914
14 Mg 0.362 0.776 0.086
15 Mg 0.776 0.362 0.086
16 Mg 0.776 0.776 0.086
17 Cd 0.000 0.000 0.000
18 Cd 0.500 0.500 0.500
19 In 0.576 0.576 0.271
20 In 0.424 0.424 0.729


MgIn2Cu: relaxed, PBE.

Output
The value obtained for the density of states at the Fermi level is 1.2 states/eV per cell. The formation energy comes out at 21 kJ/mol of formula units.

Unit cell a=4.931 b=4.931 c=5.443 alpha=79.96 beta=79.96 gamma=40.34
Positions (direct):
1 Cu 0.753 0.753 0.724
2 In 0.011 0.011 0.971
3 In 0.247 0.247 0.274
4 Mg 0.489 0.489 0.530


Ce4Ru2Cl3: relaxed, PBE.

Output
The value obtained for the density of states at the Fermi level is 19.5 states/eV per cell. The calculation puts the total energy at -6.43 eV per atom.

Unit cell a=3.992 b=3.992 c=17.586 alpha=90.04 beta=89.96 gamma=120.00
Positions (direct):
1 Ce 0.334 0.666 0.875
2 Ce 0.999 0.001 0.303
3 Ce 0.001 0.999 0.697
4 Ce 0.666 0.334 0.125
5 Ru 0.667 0.333 0.791
6 Ru 0.333 0.667 0.209
7 Cl 0.666 0.334 0.405
8 Cl 0.000 0.000 0.000
9 Cl 0.334 0.666 0.595


Er4Ga2Bi: relaxed, PBE.

Output
The value obtained for the density of states at the Fermi level is 15.0 states/eV per cell. The formation energy comes out at -250 kJ/mol of formula units.

Unit cell a=8.100 b=8.095 c=8.080 alpha=109.31 beta=109.33 gamma=109.79
Positions (direct):
1 Er 0.925 0.247 0.321
2 Er 0.325 0.503 0.179
3 Er 0.926 0.604 0.679
4 Er 0.753 0.075 0.679
5 Er 0.396 0.074 0.321
6 Er 0.324 0.146 0.821
7 Er 0.497 0.675 0.821
8 Er 0.854 0.676 0.179
9 Ga 0.625 0.375 0.750
10 Ga 0.625 0.875 0.250
11 Ga 0.625 0.375 0.250
12 Ga 0.125 0.375 0.750
13 Bi 0.250 0.750 0.500
14 Bi 0.000 0.000 0.000


Al2IrRu: relaxed, PBE.

Output
The value obtained for the density of states at the Fermi level is 2.8 states/eV per cell. The formation energy comes out at -221 kJ/mol of formula units.

Unit cell a=5.227 b=5.227 c=5.227 alpha=146.93 beta=133.25 gamma=58.45
Positions (direct):
1 Ru 0.248 0.748 0.500
2 Ir 0.503 0.503 0.000
3 Al 0.008 0.008 0.000
4 Al 0.742 0.242 0.500


ScI3: relaxed, PBE.

Output
The value obtained for the density of states at the Fermi level is 0.0 states/eV per cell. The calculation puts the total energy at -3.91 eV per atom.

Unit cell a=3.806 b=11.499 c=11.499 alpha=120.01 beta=90.00 gamma=90.00
Positions (direct):
1 I 0.750 0.778 0.222
2 I 0.750 0.444 0.222
3 I 0.750 0.778 0.556
4 I 0.250 0.222 0.778
5 I 0.250 0.556 0.778
6 I 0.250 0.222 0.444
7 Sc 0.250 0.667 0.333
8 Sc 0.750 0.333 0.667


ErCuAgPd: relaxed, PBE.

Output
The value obtained for the density of states at the Fermi level is 1.3 states/eV per cell. The formation energy comes out at -153 kJ/mol of formula units.

Unit cell a=4.684 b=4.684 c=4.684 alpha=60.00 beta=60.00 gamma=60.00
Positions (direct):
1 Cu 0.750 0.750 0.750
2 Pd 0.250 0.250 0.250
3 Ag 0.500 0.500 0.500
4 Er 0.000 0.000 0.000


Na4GaAu: relaxed, PBE.

Output
The value obtained for the density of states at the Fermi level is 4.3 states/eV per cell. The formation energy comes out at -75 kJ/mol of formula units.

Unit cell a=5.020 b=8.531 c=8.531 alpha=115.09 beta=99.26 gamma=99.26
Positions (direct):
1 Na 0.839 0.608 0.750
2 Na 0.095 0.942 0.322
3 Na 0.661 0.250 0.392
4 Na 0.405 0.678 0.058
5 Na 0.595 0.322 0.942
6 Na 0.339 0.750 0.608
7 Na 0.905 0.058 0.678
8 Na 0.161 0.392 0.250
9 Ga 0.250 0.015 0.985
10 Ga 0.750 0.985 0.015
11 Au 0.750 0.635 0.365
12 Au 0.250 0.365 0.635


Tl3PbN: relaxed, PBE.

Output
The value obtained for the density of states at the Fermi level is 4.6 states/eV per cell. Its distance to the lowest polymorph of the same formula is 0 meV per atom.

Unit cell a=5.064 b=5.064 c=5.064 alpha=90.00 beta=90.00 gamma=90.00
Positions (direct):
1 Pb 0.500 0.500 0.500
2 Tl 0.000 0.500 0.000
3 Tl 0.000 0.000 0.500
4 Tl 0.500 0.000 0.000
5 N 0.000 0.000 0.000


LiInS2: relaxed, PBE.

Output
The value obtained for the density of states at the Fermi level is 0.0 states/eV per cell. The calculation puts the total energy at -4.06 eV per atom.

Unit cell a=16.631 b=7.827 c=7.827 alpha=89.71 beta=117.90 gamma=62.10
Positions (direct):
1 S 0.991 0.761 0.740
2 S 0.509 0.240 0.261
3 S 0.009 0.239 0.260
4 S 0.491 0.760 0.739
5 S 0.750 0.260 0.239
6 S 0.750 0.739 0.760
7 S 0.250 0.740 0.761
8 S 0.250 0.261 0.240
9 S 0.511 0.738 0.259
10 S 0.989 0.759 0.238
11 S 0.489 0.262 0.741
12 S 0.011 0.241 0.762
13 S 0.750 0.258 0.758
14 S 0.250 0.742 0.242
15 S 0.750 0.741 0.241
16 S 0.250 0.259 0.759
17 Li 0.372 0.633 0.123
18 Li 0.128 0.623 0.133
19 Li 0.628 0.367 0.877
20 Li 0.872 0.377 0.867
21 Li 0.372 0.123 0.121
22 Li 0.128 0.621 0.623
23 Li 0.628 0.877 0.879
24 Li 0.872 0.379 0.377
25 In 0.134 0.117 0.136
26 In 0.366 0.636 0.617
27 In 0.866 0.883 0.864
28 In 0.634 0.364 0.383
29 In 0.366 0.133 0.616
30 In 0.134 0.116 0.633
31 In 0.634 0.867 0.384
32 In 0.866 0.884 0.367


Cd2IrW: relaxed, PBE.

Output
The value obtained for the density of states at the Fermi level is 3.2 states/eV per cell. The formation energy comes out at 233 kJ/mol of formula units. Its distance to the lowest polymorph of the same formula is 527 meV per atom.

Unit cell a=5.379 b=5.379 c=5.379 alpha=137.30 beta=137.30 gamma=61.97
Positions (direct):
1 Ir 0.250 0.750 0.500
2 W 0.750 0.250 0.500
3 Cd 0.000 0.000 0.000
4 Cd 0.500 0.500 0.000